1.
## ZnTc3Sb (GGA-PBE)

Data for ZnTc3Sb after structural relaxation.

## Properties
Crystal system = cubic
Total magnetic moment = 3.1 μB/f.u.
Final energy = -29.36 eV per cell
Formation energy without anion corrections = 1427 meV/atom
Distance to the lowest polymorph of the same formula = 0 meV per atom

abc: 4.5524 4.5524 4.5524
angles: 90.00 90.00 90.00
Space group Pm-3m (No. 221)
Asymmetric unit:
Zn: 0.0000 0.0000 0.0000
Tc: 0.0000 0.0000 0.5000
Sb: 0.5000 0.5000 0.5000

---

2.
## Nb4Ge2C (GGA-PBE)

Data for Nb4Ge2C after structural relaxation.

## Properties
Crystal system = tetragonal
ΔE_f = -1.00 eV/f.u.
Total magnetic moment = 0.0 μB/f.u.
Final energy = -119.47 eV per cell
Distance to the lowest polymorph of the same formula = 325 meV per atom

abc: 4.1613 4.1613 13.7703
angles: 90.00 90.00 90.00
Space group I4/mmm (No. 139)
Asymmetric unit:
Nb: 0.0000 0.0000 0.1631
Nb: 0.0000 0.5000 0.0000
Ge: 0.0000 0.0000 0.3551
C: 0.0000 0.0000 0.0000

---

3.
## Ba2SiSnPd6 (GGA-PBE)

Data for Ba2SiSnPd6 after structural relaxation.

## Properties
Crystal system = monoclinic
Total magnetic moment = 0.0 μB/f.u.
Final energy = -101.41 eV per cell
Formation energy without anion corrections = -628 meV/atom

abc: 12.1102 5.9135 8.1609
angles: 90.00 127.43 90.00
Space group C2/m (No. 12)
Asymmetric unit:
Ba: 0.2454 0.0000 0.1945
Si: 0.0000 0.0000 0.5000
Sn: 0.0000 0.5000 0.0000
Pd: 0.0351 0.2514 0.3046
Pd: 0.2448 0.0000 0.6320

---

4.
## Nd3ErTm6Th2 (GGA-PBE)

Data for Nd3ErTm6Th2 after structural relaxation.

## Properties
Crystal system = monoclinic
ΔE_f = 0.22 eV/f.u.
Total magnetic moment = 0.0 μB/f.u.
Final energy = -120.63 eV per cell

abc: 6.1646 10.6726 11.6966
angles: 90.00 100.13 90.00
Space group C2/m (No. 12)
Asymmetric unit:
Nd: 0.0000 0.0000 0.0000
Nd: 0.0000 0.3339 0.0000
Er: 0.0000 0.5000 0.5000
Tm: 0.2444 0.0000 0.7453
Tm: 0.2499 0.1686 0.2550
Th: 0.0000 0.1667 0.5000

---

5.
## Th4CoHg2 (GGA-PBE)

Data for Th4CoHg2 after structural relaxation.

## Properties
Crystal system = monoclinic
ΔE_f = -0.17 eV/f.u.
Total magnetic moment = 0.0 μB/f.u.
Final energy = -37.56 eV per cell
Distance to the lowest polymorph of the same formula = 79 meV per atom

abc: 6.7521 3.6588 8.5521
angles: 90.00 104.12 90.00
Space group P2/m (No. 10)
Asymmetric unit:
Th: 0.1562 0.0000 0.3460
Th: 0.2577 0.5000 0.9738
Co: 0.0000 0.0000 0.0000
Hg: 0.4110 0.5000 0.6529